(1)
Computed, not measured: a relaxed Li4PaSe4 crystal at the GGA-PBE level of DFT.

Values from the calculation:
- Fermi-level density of states: 0.07 states/eV/atom
- Relative energy among the computed polymorphs: 216 meV per atom
- Raw formation energy: -1.07 eV/atom
- Calculated total energy: -40.73 eV for the cell shown

```
Li4PaSe4
1.0
-6.3858 -0.5775 1.3446
-0.8992 -3.2006 -5.6451
4.6768 -3.2060 4.8742
Li Pa Se
4 1 4
direct
0.5000 0.0000 0.0000
0.0000 0.5000 0.0000
0.2891 0.2891 0.5783
0.7109 0.7109 0.4217
0.0000 0.0000 0.0000
0.6331 0.6331 0.7498
0.3669 0.8833 0.2502
0.1167 0.1167 0.7498
0.8833 0.3669 0.2502
```



(2)
Computed, not measured: a relaxed Li3Cr crystal at the GGA-PBE level of DFT.

Values from the calculation:
- Fermi-level density of states: 0.60 states/eV/atom
- Calculated formation energy: 0.44 eV/atom
- Relative energy among the computed polymorphs: 76 meV per atom
- Calculated total energy: -13.60 eV for the cell shown

```
Li3Cr
1.0
2.4659 0.0000 0.0000
0.0000 4.6285 0.0000
0.0000 0.0000 5.4736
Cr Li
1 3
direct
0.0000 0.0000 0.0000
0.5000 0.5000 0.7693
0.0000 0.0000 0.5000
0.5000 0.5000 0.2307
```



(3)
Computed, not measured: a relaxed YP5Rh crystal at the GGA-PBE level of DFT.

Values from the calculation:
- Fermi-level density of states: 0.37 states/eV/atom
- Calculated formation energy: -0.15 eV/atom
- Calculated total energy: -41.91 eV for the cell shown

```
YP5Rh
1.0
-3.4899 -1.3417 -0.7181
1.2577 -3.5544 0.5285
-1.9080 0.5507 8.2441
Y P Rh
1 5 1
direct
0.0000 0.0000 0.0000
0.5000 0.5000 0.0000
0.5000 0.0000 0.3086
0.0000 0.5000 0.3086
0.5000 0.0000 0.6914
0.0000 0.5000 0.6914
0.0000 0.0000 0.5000
```



(4)
Computed, not measured: a relaxed Pm2Y3In crystal at the GGA-PBE level of DFT.

Values from the calculation:
- Fermi-level density of states: 1.23 states/eV/atom
- Calculated formation energy: -0.15 eV/atom
- Calculated total energy: -65.10 eV for the cell shown

```
Pm2Y3In
1.0
5.0957 -0.4014 -0.6913
-1.8177 9.2230 0.4908
-1.8177 -4.1461 8.2531
Pm Y In
4 6 2
direct
0.2500 0.9271 0.0729
0.2500 0.2224 0.7776
0.7500 0.0729 0.9271
0.7500 0.7776 0.2224
0.0455 0.2162 0.3747
0.5455 0.3747 0.2162
0.0000 0.5000 0.0000
0.9545 0.7838 0.6253
0.5000 0.0000 0.5000
0.4545 0.6253 0.7838
0.2500 0.6066 0.3934
0.7500 0.3934 0.6066
```



(5)
Computed, not measured: a relaxed Nd14SmY crystal at the GGA-PBE level of DFT.

Values from the calculation:
- Fermi-level density of states: 1.58 states/eV/atom
- Calculated formation energy: 0.01 eV/atom
- Calculated total energy: -77.73 eV for the cell shown

```
Nd14SmY
1.0
7.2803 0.9767 0.0000
-0.9769 7.2803 0.0000
0.0000 0.0000 10.3845
Nd Sm Y
14 1 1
direct
0.3749 0.6251 0.5000
0.8750 0.1250 0.5000
0.8750 0.6248 0.0000
0.8750 0.6251 0.5000
0.3752 0.1250 0.0000
0.3749 0.1250 0.5000
0.6246 0.8746 0.7512
0.6246 0.8746 0.2488
0.1254 0.3754 0.7512
0.1254 0.3754 0.2488
0.1252 0.8748 0.7513
0.1252 0.8748 0.2487
0.6248 0.3752 0.7512
0.6248 0.3752 0.2488
0.8751 0.1249 0.0000
0.3750 0.6250 0.0000
```



(6)
Computed, not measured: a relaxed Tl8SiSe6 crystal at the GGA-PBE level of DFT.

Values from the calculation:
- Raw formation energy: -0.38 eV/atom
- Calculated total energy: -101.90 eV for the cell shown

```
Tl8SiSe6
1.0
10.1191 0.0000 0.0000
0.0000 8.0729 0.0000
0.0000 0.0000 12.0166
Tl Si Se
16 2 12
direct
0.4563 0.0000 0.9487
0.5437 0.5000 0.4487
0.0563 0.7771 0.0620
0.9437 0.7229 0.5620
0.9437 0.2771 0.5620
0.0563 0.2229 0.0620
0.3204 0.7359 0.7352
0.6796 0.7641 0.2352
0.6796 0.2359 0.2352
0.3204 0.2641 0.7352
0.8264 0.7705 0.8344
0.1736 0.7295 0.3344
0.1736 0.2705 0.3344
0.8264 0.2295 0.8344
0.2560 0.0000 0.5251
0.7440 0.5000 0.0251
0.6546 0.0000 0.5107
0.3454 0.5000 0.0107
0.7353 0.0000 0.0273
0.2647 0.5000 0.5273
0.0212 0.0000 0.7373
0.9788 0.5000 0.2373
0.8481 0.0000 0.4043
0.1519 0.5000 0.9043
0.4949 0.0000 0.3747
0.5051 0.5000 0.8747
0.3620 0.7294 0.1225
0.6380 0.7706 0.6225
0.6380 0.2294 0.6225
0.3620 0.2706 0.1225
```